Entry from Alexandria: a geometry-optimized LaSmSi structure (GGA-PBE).

Offset from the most stable computed form (eV per atom): 0.000
Energy relative to the elements, uncorrected (eV per atom): -0.525
SG: P-62m
Total magnetization (μB/f.u.): 0.5
Crystal system: hexagonal

Cell lengths 8.108, 8.108, 4.385 Å; angles 90.00, 90.00, 120.00 degrees
Sites, in units of the cell vectors:
La: 0.000 0.590 0.000
La: 0.410 0.410 0.000
La: 0.590 0.000 0.000
Sm: 0.000 0.262 0.500
Sm: 0.262 0.000 0.500
Sm: 0.738 0.738 0.500
Si: 0.000 0.000 0.000
Si: 0.333 0.667 0.500
Si: 0.667 0.333 0.500